(1)
! BeIn2Se (PBE-GGA, optimized geometry); values from VASP
! distance to the lowest polymorph of the same formula: 594 meV per atom
! symmetry: I4/mmm, No. 139
! total energy: -2.73 eV per atom
&SYSTEM
  ibrav = 0, nat = 4, ntyp = 3
/
ATOMIC_SPECIES
Be 9.01 Be.upf
Se 78.96 Se.upf
In 114.82 In.upf
ATOMIC_POSITIONS crystal
Be 0.7500 0.2500 0.5000
Se 0.2500 0.7500 0.5000
In 0.0000 0.0000 0.0000
In 0.5000 0.5000 0.0000
CELL_PARAMETERS angstrom
5.3645 -0.0398 0.0000
1.4821 5.1558 0.0000
-3.4233 -2.5580 3.2429


(2)
! BeIn3Se (PBE-GGA, optimized geometry); values from VASP
! distance to the lowest polymorph of the same formula: 0 meV per atom
! symmetry: Pm-3m, No. 221
! total energy: -3.02 eV per atom
&SYSTEM
  ibrav = 0, nat = 5, ntyp = 3
/
ATOMIC_SPECIES
Be 9.01 Be.upf
Se 78.96 Se.upf
In 114.82 In.upf
ATOMIC_POSITIONS crystal
Be 0.0000 0.0000 0.0000
Se 0.5000 0.5000 0.5000
In 0.0000 0.5000 0.0000
In 0.0000 0.0000 0.5000
In 0.5000 0.0000 0.0000
CELL_PARAMETERS angstrom
-1.5181 -1.7588 4.3459
-3.7812 -2.2413 -2.2279
2.7717 -4.0209 -0.6590


(3)
! BeInSe4 (PBE-GGA, optimized geometry); values from VASP
! symmetry: F-43m, No. 216
! total energy: -2.74 eV per atom
&SYSTEM
  ibrav = 0, nat = 6, ntyp = 3
/
ATOMIC_SPECIES
Be 9.01 Be.upf
In 114.82 In.upf
Se 78.96 Se.upf
ATOMIC_POSITIONS crystal
Be 0.7500 0.7500 0.7500
In 0.0000 0.0000 0.0000
Se 0.8679 0.3774 0.3774
Se 0.3774 0.3774 0.8679
Se 0.3774 0.8679 0.3774
Se 0.3774 0.3774 0.3774
CELL_PARAMETERS angstrom
2.1259 -5.3769 -0.5181
-1.8432 -4.2048 3.5526
-3.3620 -4.2654 -2.0499


(4)
! BeInSe2 (PBE-GGA, optimized geometry); values from VASP
! distance to the lowest polymorph of the same formula: 221 meV per atom
! symmetry: R-3m, No. 166
! total energy: -3.58 eV per atom
&SYSTEM
  ibrav = 0, nat = 4, ntyp = 3
/
ATOMIC_SPECIES
Be 9.01 Be.upf
Se 78.96 Se.upf
In 114.82 In.upf
ATOMIC_POSITIONS crystal
Be 0.0000 0.0000 0.0000
Se 0.0979 0.0979 0.0979
Se 0.9021 0.9021 0.9021
In 0.5000 0.5000 0.5000
CELL_PARAMETERS angstrom
-2.1317 7.0443 0.1477
-2.7525 5.3100 4.2914
1.3908 6.5916 2.9673


(5)
! BeInSe2 (PBE-GGA, optimized geometry); values from VASP
! distance to the lowest polymorph of the same formula: 1001 meV per atom
! symmetry: F-43m, No. 216
! total energy: -2.80 eV per atom
&SYSTEM
  ibrav = 0, nat = 4, ntyp = 3
/
ATOMIC_SPECIES
Be 9.01 Be.upf
Se 78.96 Se.upf
In 114.82 In.upf
ATOMIC_POSITIONS crystal
Be 0.5000 0.5000 0.5000
Se 0.0000 0.0000 0.0000
Se 0.7500 0.7500 0.7500
In 0.2500 0.2500 0.2500
CELL_PARAMETERS angstrom
4.8546 0.0000 0.0000
2.4273 4.2042 0.0000
2.4273 1.4014 3.9638


(6)
! BeIn2Se (PBE-GGA, optimized geometry); values from VASP
! distance to the lowest polymorph of the same formula: 320 meV per atom
! symmetry: I-42d, No. 122
! total energy: -3.01 eV per atom
&SYSTEM
  ibrav = 0, nat = 8, ntyp = 3
/
ATOMIC_SPECIES
Be 9.01 Be.upf
Se 78.96 Se.upf
In 114.82 In.upf
ATOMIC_POSITIONS crystal
Be 0.5000 0.5000 0.0000
Be 0.2500 0.7500 0.5000
Se 0.0000 0.0000 0.0000
Se 0.7500 0.2500 0.5000
In 0.5860 0.1250 0.2500
In 0.1640 0.6250 0.2500
In 0.3750 0.4140 0.7500
In 0.8750 0.8360 0.7500
CELL_PARAMETERS angstrom
-0.8120 -6.0827 1.4135
2.9835 -1.6301 -5.3007
5.9226 -3.8686 0.7825


(7)
! BeInSe2 (PBE-GGA, optimized geometry); values from VASP
! distance to the lowest polymorph of the same formula: 657 meV per atom
! symmetry: P4/mmm, No. 123
! total energy: -3.15 eV per atom
&SYSTEM
  ibrav = 0, nat = 4, ntyp = 3
/
ATOMIC_SPECIES
Be 9.01 Be.upf
Se 78.96 Se.upf
In 114.82 In.upf
ATOMIC_POSITIONS crystal
Be 0.5000 0.5000 0.2500
Se 0.0000 0.0000 0.0568
Se 0.0000 0.0000 0.4432
In 0.5000 0.5000 0.7500
CELL_PARAMETERS angstrom
3.3154 0.0000 0.0000
0.0000 3.3154 0.0000
0.0000 0.0000 7.2274


(8)
! BeInSe2 (PBE-GGA, optimized geometry); values from VASP
! distance to the lowest polymorph of the same formula: 178 meV per atom
! symmetry: R3m, No. 160
! total energy: -3.63 eV per atom
&SYSTEM
  ibrav = 0, nat = 4, ntyp = 3
/
ATOMIC_SPECIES
Be 9.01 Be.upf
Se 78.96 Se.upf
In 114.82 In.upf
ATOMIC_POSITIONS crystal
Be 0.5285 0.5285 0.5285
Se 0.0180 0.0180 0.0180
Se 0.2064 0.2064 0.2064
In 0.7471 0.7471 0.7471
CELL_PARAMETERS angstrom
-0.7653 7.1251 -3.8484
-3.8247 5.1495 -5.0017
-3.8769 6.9604 -1.6385


(9)
! BeInSe2 (PBE-GGA, optimized geometry); values from VASP
! distance to the lowest polymorph of the same formula: 2 meV per atom
! symmetry: Pm, No. 6
! total energy: -3.80 eV per atom
&SYSTEM
  ibrav = 0, nat = 4, ntyp = 3
/
ATOMIC_SPECIES
Be 9.01 Be.upf
Se 78.96 Se.upf
In 114.82 In.upf
ATOMIC_POSITIONS crystal
Be 0.0000 0.3206 0.4748
Se 0.0000 0.1143 0.8175
Se 0.5000 0.4742 0.3242
In 0.5000 0.5909 0.8835
CELL_PARAMETERS angstrom
-2.1938 2.9229 1.0406
-3.2485 -2.7039 0.7463
0.7534 -1.6485 6.2188


(10)
! BeIn2Se (PBE-GGA, optimized geometry); values from VASP
! distance to the lowest polymorph of the same formula: 511 meV per atom
! symmetry: I-4m2, No. 119
! total energy: -2.82 eV per atom
&SYSTEM
  ibrav = 0, nat = 4, ntyp = 3
/
ATOMIC_SPECIES
Be 9.01 Be.upf
Se 78.96 Se.upf
In 114.82 In.upf
ATOMIC_POSITIONS crystal
Be 0.7500 0.2500 0.5000
Se 0.5000 0.5000 0.0000
In 0.0000 0.0000 0.0000
In 0.2500 0.7500 0.5000
CELL_PARAMETERS angstrom
6.3801 0.0076 0.0000
3.8511 5.0867 0.0000
-5.1156 -2.5472 2.8369


(11)
! BeIn2Se (PBE-GGA, optimized geometry); values from VASP
! distance to the lowest polymorph of the same formula: 457 meV per atom
! symmetry: Immm, No. 71
! total energy: -2.87 eV per atom
&SYSTEM
  ibrav = 0, nat = 4, ntyp = 3
/
ATOMIC_SPECIES
Be 9.01 Be.upf
Se 78.96 Se.upf
In 114.82 In.upf
ATOMIC_POSITIONS crystal
Be 0.2500 0.7500 0.5000
Se 0.7500 0.2500 0.5000
In 0.0228 0.0228 0.0000
In 0.4772 0.4772 0.0000
CELL_PARAMETERS angstrom
5.4078 0.0180 0.0396
0.7713 5.3526 -0.0396
-2.0704 -3.8580 3.1743


(12)
! BeInSe2 (PBE-GGA, optimized geometry); values from VASP
! distance to the lowest polymorph of the same formula: 144 meV per atom
! symmetry: R-3m, No. 166
! total energy: -3.66 eV per atom
&SYSTEM
  ibrav = 0, nat = 4, ntyp = 3
/
ATOMIC_SPECIES
Be 9.01 Be.upf
Se 78.96 Se.upf
In 114.82 In.upf
ATOMIC_POSITIONS crystal
Be 0.2500 0.2500 0.2500
Se 0.9827 0.9827 0.9827
Se 0.5173 0.5173 0.5173
In 0.7500 0.7500 0.7500
CELL_PARAMETERS angstrom
6.8532 -0.0107 -0.0065
5.8240 3.6122 -0.0065
5.8240 1.6545 3.2110


(13)
! Be3InSe (PBE-GGA, optimized geometry); values from VASP
! distance to the lowest polymorph of the same formula: 0 meV per atom
! symmetry: Pm-3m, No. 221
! total energy: -2.62 eV per atom
&SYSTEM
  ibrav = 0, nat = 5, ntyp = 3
/
ATOMIC_SPECIES
Be 9.01 Be.upf
Se 78.96 Se.upf
In 114.82 In.upf
ATOMIC_POSITIONS crystal
Be 0.0000 0.5000 0.0000
Be 0.0000 0.0000 0.5000
Be 0.5000 0.0000 0.0000
Se 0.0000 0.0000 0.0000
In 0.5000 0.5000 0.5000
CELL_PARAMETERS angstrom
-1.2037 -2.2378 3.6158
4.1930 -1.2498 0.6224
0.7074 3.6001 2.4636


(14)
! BeIn2Se (PBE-GGA, optimized geometry); values from VASP
! distance to the lowest polymorph of the same formula: 455 meV per atom
! symmetry: Cmmm, No. 65
! total energy: -2.87 eV per atom
&SYSTEM
  ibrav = 0, nat = 4, ntyp = 3
/
ATOMIC_SPECIES
Be 9.01 Be.upf
Se 78.96 Se.upf
In 114.82 In.upf
ATOMIC_POSITIONS crystal
Be 0.5000 0.5000 0.7500
Se 0.5000 0.5000 0.2500
In 0.0000 0.0000 0.9790
In 0.0000 0.0000 0.5210
CELL_PARAMETERS angstrom
-1.1536 1.5894 -2.9933
-2.4106 -2.3586 1.2013
-3.2031 5.3491 4.0746


(15)
! BeInSe2 (PBE-GGA, optimized geometry); values from VASP
! distance to the lowest polymorph of the same formula: 250 meV per atom
! symmetry: P4mm, No. 99
! total energy: -3.55 eV per atom
&SYSTEM
  ibrav = 0, nat = 4, ntyp = 3
/
ATOMIC_SPECIES
Be 9.01 Be.upf
Se 78.96 Se.upf
In 114.82 In.upf
ATOMIC_POSITIONS crystal
Be 0.0000 0.0000 0.3167
Se 0.0000 0.0000 0.9596
Se 0.5000 0.5000 0.3945
In 0.5000 0.5000 0.8291
CELL_PARAMETERS angstrom
-1.9137 -1.9905 2.5421
2.9288 -2.3139 0.3929
2.2611 3.6343 4.5478


no.,formation energy from raw total energies (eV/f.u.)
1,1.75
2,0.34
3,3.99
4,-0.90
5,2.22
6,0.65
7,0.84
8,-1.07
9,-1.78
10,1.42
11,1.20
12,-1.21
13,4.31
14,1.19
15,-0.78